A plane-wave DFT calculation with PBE+U was carried out for MnPtSe2O8 after structural relaxation.

a = 5.9912 Å, b = 5.9912 Å, c = 5.5358 Å
α = 90.00°, β = 90.00°, γ = 120.00°
Sites, in units of the cell vectors:
Mn 0.0000 0.0000 0.0000
Pt 0.0000 0.0000 0.5000
Se 0.3333 0.6667 0.2241
Se 0.6667 0.3333 0.7759
O 0.1396 0.2792 0.2413
O 0.1396 0.8604 0.2413
O 0.2792 0.1396 0.7587
O 0.3333 0.6667 0.9315
O 0.6667 0.3333 0.0685
O 0.7208 0.8604 0.2413
O 0.8604 0.1396 0.7587
O 0.8604 0.7208 0.7587

Summary:
VASP energy: -5.63 eV/atom
density of states at the Fermi level: 0.00 states/eV/atom
crystal system: trigonal
V: 14.34 Å³ per atom